The following is a DFT calculation (PBE) of a relaxed CsP2PtS crystal.

Unit cell a=4.729 b=4.729 c=5.534 alpha=90.00 beta=90.00 gamma=90.00
Positions (direct):
Cs (0.500, 0.500, 0.500)
P (0.000, 0.500, 0.000)
P (0.500, 0.000, 0.000)
S (0.000, 0.000, 0.500)
Pt (0.000, 0.000, 0.000)

Its excess energy over the best structure of this formula in the dataset is 0.00 eV/f.u. For the formation energy (no corrections), the calculation gives 122.4 kJ/mol of formula units.